## Ta2VPd9 (PBE-GGA)

Data for Ta2VPd9 after structural relaxation.

Summary:
- E_form (meV/atom) = -336
- theoretical density (Mg/m³) = 12.23
- calculated volume (Å³/atom) = 15.51

Cell: 3.9598 3.9598 11.8693 Å, 90.00 90.00 90.00°
With the nearest neighbours (Å) after each atom.
Space group P4/mmm (No. 123)
One atom of each set of equivalent atoms:
Ta: 0.0000 0.0000 0.1735 [2 per cell]  12 Pd 2.71-2.86
V: 0.0000 0.0000 0.5000 [1 per cell]  12 Pd 2.80-2.83
Pd: 0.0000 0.5000 0.0000 [2 per cell]  8 Pd 2.77-2.80, 4 Ta 2.86
Pd: 0.0000 0.5000 0.3297 [4 per cell]  2 Ta 2.71, 8 Pd 2.79-2.83, 2 V 2.83
Pd: 0.5000 0.5000 0.1638 [2 per cell]  8 Pd 2.77-2.79, 4 Ta 2.80
Pd: 0.5000 0.5000 0.5000 [1 per cell]  4 V 2.80, 8 Pd 2.83

## Li2Ac2Sn2H (PBE-GGA)

Data for Li2Ac2Sn2H after structural relaxation.

Summary:
- theoretical density (Mg/m³) = 6.53
- calculated volume (Å³/atom) = 25.66
- electronic total energy (eV/atom) = -3.866

Cell: 4.7120 4.7120 16.1777 Å, 90.00 90.00 90.00°
With the nearest neighbours (Å) after each atom.
Space group I4/mmm (No. 139)
One atom of each set of equivalent atoms:
Li: 0.0000 0.5000 0.0000 [4 per cell]  2 H 2.36
Ac: 0.0000 0.0000 0.1604 [4 per cell]  1 H 2.60
Sn: 0.0000 0.0000 0.3860 [4 per cell]  4 Li 2.99
H: 0.0000 0.0000 0.0000 [2 per cell]  4 Li 2.36, 2 Ac 2.60

## ErZr2Pa (PBE-GGA)

Data for ErZr2Pa after structural relaxation.

Summary:
- E_form (meV/atom) = 97
- theoretical density (Mg/m³) = 9.35
- polymorph energy (0 for the lowest one) (meV per atom) = 11
- calculated volume (Å³/atom) = 25.78

Cell: 3.8244 3.8244 7.0505 Å, 90.00 90.00 90.00°
With the nearest neighbours (Å) after each atom.
Space group P4/mmm (No. 123)
One atom of each set of equivalent atoms:
Er: 0.0000 0.0000 0.0000 [1 per cell]  8 Zr 3.39, 2 Pa 3.53
Zr: 0.5000 0.5000 0.2891 [2 per cell]  1 Zr 2.97, 4 Pa 3.09
Pa: 0.0000 0.0000 0.5000 [1 per cell]  8 Zr 3.09

## Tb4ZnSe3 (PBE-GGA)

Data for Tb4ZnSe3 after structural relaxation.

Summary:
- theoretical density (Mg/m³) = 7.92
- calculated volume (Å³/atom) = 24.59
- electronic total energy (eV/atom) = -5.212

Cell: 5.8207 5.8207 11.6109 Å, 90.00 90.00 90.00°
With the nearest neighbours (Å) after each atom.
Space group I4/mmm (No. 139)
One atom of each set of equivalent atoms:
Tb: 0.0000 0.0000 0.2492 [4 per cell]  5 Se 2.89-2.91, 1 Zn 2.91
Tb: 0.0000 0.5000 0.0000 [4 per cell]  4 Se 2.90-2.91, 2 Zn 2.91
Zn: 0.0000 0.0000 0.5000 [2 per cell]  6 Tb 2.91
Se: 0.0000 0.0000 0.0000 [2 per cell]  6 Tb 2.89-2.91
Se: 0.0000 0.5000 0.2500 [4 per cell]  6 Tb 2.90-2.91